# 1
The following is a PBE-GGA calculation of a geometry-optimized CuRe2Hg structure, from the Alexandria database.

Output
As for the crystal system: orthorhombic. The energy of formation from the pure elements comes out at 699 meV per atom.

Cell lengths 3.1163, 4.3179, 4.6994 Å; angles 90.00, 90.00, 90.00 degrees
Space group Pmmm (No. 47)
Unique sites:
1 Cu 0.0000 0.0000 0.0000 (multiplicity 1)
2 Re 0.0000 0.5000 0.5000 (multiplicity 1)
3 Re 0.5000 0.0000 0.5000 (multiplicity 1)
4 Hg 0.5000 0.5000 0.0000 (multiplicity 1)

---

# 2
The following is a PBE-GGA calculation of a geometry-optimized Gd2Fe17 structure, from the Alexandria database.

Output
Its excess energy over the best structure of this formula in the dataset is 0.0 meV per atom. As for the crystal system: hexagonal. The energy of formation from the pure elements comes out at 7 meV per atom.

Cell lengths 8.4903, 8.4903, 8.2640 Å; angles 90.00, 90.00, 120.00 degrees
Space group P6_3/mmc (No. 194)
Unique sites:
1 Gd 0.0000 0.0000 0.2500 (multiplicity 2)
2 Gd 0.3333 0.6667 0.2500 (multiplicity 2)
3 Fe 0.0000 0.5000 0.0000 (multiplicity 6)
4 Fe 0.0409 0.3701 0.7500 (multiplicity 12)
5 Fe 0.1660 0.3321 0.0148 (multiplicity 12)
6 Fe 0.3333 0.6667 0.6066 (multiplicity 4)

---

# 3
The following is a PBE-GGA calculation of a geometry-optimized Ca2Zn4Au5 structure, from the Alexandria database.

Output
As for the crystal system: monoclinic. The energy of formation from the pure elements comes out at -407 meV per atom.

Cell lengths 12.6230, 5.6785, 8.4767 Å; angles 90.00, 132.07, 90.00 degrees
Space group C2/m (No. 12)
Unique sites:
1 Ca 0.0004 0.0000 0.2445 (multiplicity 4)
2 Zn 0.1620 0.5000 0.4087 (multiplicity 4)
3 Zn 0.1632 0.5000 0.9170 (multiplicity 4)
4 Au 0.0000 0.5000 0.0000 (multiplicity 2)
5 Au 0.2162 0.2507 0.7161 (multiplicity 8)

---

# 4
The following is a PBE-GGA calculation of a geometry-optimized PrLuMgIr structure, from the Alexandria database.

Output
As for the crystal system: cubic. The energy of formation from the pure elements comes out at -377 meV per atom.

Cell lengths 7.1886, 7.1886, 7.1886 Å; angles 90.00, 90.00, 90.00 degrees
Space group F-43m (No. 216)
Unique sites:
1 Pr 0.0000 0.0000 0.0000 (multiplicity 4)
2 Lu 0.0000 0.0000 0.5000 (multiplicity 4)
3 Mg 0.2500 0.2500 0.2500 (multiplicity 4)
4 Ir 0.2500 0.2500 0.7500 (multiplicity 4)

---

# 5
The following is a PBE-GGA calculation of a geometry-optimized Be3PtN structure, from the Alexandria database.

Output
Its excess energy over the best structure of this formula in the dataset is 1643.3 meV per atom. As for the crystal system: cubic. The uncorrected formation energy is 1238 meV per atom.

Cell lengths 4.1923, 4.1923, 4.1923 Å; angles 90.00, 90.00, 90.00 degrees
Space group Pm-3m (No. 221)
Unique sites:
1 Be 0.0000 0.0000 0.5000 (multiplicity 3)
2 Pt 0.0000 0.0000 0.0000 (multiplicity 1)
3 N 0.5000 0.5000 0.5000 (multiplicity 1)

---

# 6
The following is a PBE-GGA calculation of a geometry-optimized Pr2CdSb structure, from the Alexandria database.

Output
Its excess energy over the best structure of this formula in the dataset is 75.9 meV per atom. As for the crystal system: cubic. The uncorrected formation energy is -597 meV per atom.

Cell lengths 7.7645, 7.7645, 7.7645 Å; angles 90.00, 90.00, 90.00 degrees
Space group Fm-3m (No. 225)
Unique sites:
1 Pr 0.2500 0.2500 0.2500 (multiplicity 8)
2 Cd 0.0000 0.0000 0.0000 (multiplicity 4)
3 Sb 0.0000 0.0000 0.5000 (multiplicity 4)

---

# 7
The following is a PBE-GGA calculation of a geometry-optimized BaSn2Rh2 structure, from the Alexandria database.

Output
As for the crystal system: tetragonal. The energy of formation from the pure elements comes out at -300 meV per atom.

Cell lengths 8.2827, 8.2827, 3.2051 Å; angles 90.00, 90.00, 90.00 degrees
Space group P4/mbm (No. 127)
Unique sites:
1 Ba 0.0000 0.0000 0.0000 (multiplicity 2)
2 Sn 0.1457 0.3543 0.5000 (multiplicity 4)
3 Rh 0.1350 0.6350 0.0000 (multiplicity 4)

---

# 8
The following is a PBE-GGA calculation of a geometry-optimized LaIn6Ni4 structure, from the Alexandria database.

Output
As for the crystal system: tetragonal. The energy of formation from the pure elements comes out at -295 meV per atom.

Cell lengths 6.7861, 6.7861, 9.6347 Å; angles 90.00, 90.00, 90.00 degrees
Space group I-42m (No. 121)
Unique sites:
1 La 0.0000 0.0000 0.0000 (multiplicity 2)
2 In 0.0000 0.5000 0.0000 (multiplicity 4)
3 In 0.1830 0.1830 0.7079 (multiplicity 8)
4 Ni 0.1626 0.1626 0.4290 (multiplicity 8)

---

# 9
The following is a PBE-GGA calculation of a geometry-optimized AcCe2Sb structure, from the Alexandria database.

Output
Its excess energy over the best structure of this formula in the dataset is 267.6 meV per atom. As for the crystal system: cubic. The uncorrected formation energy is -203 meV per atom.

Cell lengths 7.8765, 7.8765, 7.8765 Å; angles 90.00, 90.00, 90.00 degrees
Space group Fm-3m (No. 225)
Unique sites:
1 Ac 0.0000 0.0000 0.0000 (multiplicity 4)
2 Ce 0.2500 0.2500 0.2500 (multiplicity 8)
3 Sb 0.0000 0.0000 0.5000 (multiplicity 4)

---

# 10
The following is a PBE-GGA calculation of a geometry-optimized Rb5Al2H12 structure, from the Alexandria database.

Output
As for the crystal system: monoclinic.

Cell lengths 14.5446, 5.7070, 9.3760 Å; angles 90.00, 106.94, 90.00 degrees
Space group C2/m (No. 12)
Unique sites:
1 Rb 0.0000 0.0000 0.0000 (multiplicity 2)
2 Rb 0.1718 0.5000 0.8485 (multiplicity 4)
3 Rb 0.1972 0.5000 0.3555 (multiplicity 4)
4 Al 0.0000 0.2466 0.5000 (multiplicity 4)
5 H 0.0029 0.0000 0.3764 (multiplicity 4)
6 H 0.0041 0.5000 0.3777 (multiplicity 4)
7 H 0.1206 0.2543 0.5615 (multiplicity 8)
8 H 0.1601 0.2580 0.1000 (multiplicity 8)

---

# 11
The following is a PBE-GGA calculation of a geometry-optimized LiPm3Th4Te8 structure, from the Alexandria database.

Output
As for the crystal system: trigonal. The uncorrected formation energy is -1180 meV per atom.

Cell lengths 8.6357, 8.6357, 23.0037 Å; angles 90.00, 90.00, 120.00 degrees
Space group R-3m (No. 166, hexagonal axes)
Unique sites:
1 Li 0.0000 0.0000 0.0000 (multiplicity 3)
2 Pm 0.0000 0.5000 0.0000 (multiplicity 9)
3 Th 0.0000 0.0000 0.5000 (multiplicity 3)
4 Th 0.0000 0.5000 0.5000 (multiplicity 9)
5 Te 0.0000 0.0000 0.2515 (multiplicity 6)
6 Te 0.0118 0.5059 0.7460 (multiplicity 18)

---

# 12
The following is a PBE-GGA calculation of a geometry-optimized NaTl3InSn structure, from the Alexandria database.

Output
As for the crystal system: monoclinic. The energy of formation from the pure elements comes out at -59 meV per atom.

Cell lengths 7.6906, 4.7295, 10.0657 Å; angles 90.00, 109.88, 90.00 degrees
Space group P2_1/m (No. 11)
Unique sites:
1 Na 0.1579 0.2500 0.2890 (multiplicity 2)
2 Tl 0.1728 0.7500 0.5366 (multiplicity 2)
3 Tl 0.1874 0.2500 0.7987 (multiplicity 2)
4 Tl 0.1878 0.7500 0.0532 (multiplicity 2)
5 In 0.4950 0.7500 0.8652 (multiplicity 2)
6 Sn 0.4981 0.7500 0.3838 (multiplicity 2)

---

| no. | energy (eV/atom) |
| --- | --- |
| 1 | -6.6247 |
| 2 | -9.0471 |
| 3 | -2.7244 |
| 4 | -5.3157 |
| 5 | -3.8714 |
| 6 | -4.2463 |
| 7 | -5.2263 |
| 8 | -4.3386 |
| 9 | -5.2278 |
| 10 | -2.7979 |
| 11 | -5.6162 |
| 12 | -2.5858 |